DFT (PBE-GGA) results for a relaxed Sm6InCu2 crystal.

abc: 8.716 8.716 8.716
angles: 105.91 108.86 113.74
Positions (direct):
Sm (0.696, 0.017, 0.321)
Sm (0.468, 0.283, 0.185)
Sm (0.198, 0.763, 0.960)
Sm (0.304, 0.983, 0.679)
Sm (0.802, 0.237, 0.040)
Sm (0.198, 0.237, 0.435)
Sm (0.098, 0.283, 0.815)
Sm (0.696, 0.375, 0.679)
Sm (0.902, 0.717, 0.185)
Sm (0.532, 0.717, 0.815)
Sm (0.304, 0.625, 0.321)
Sm (0.802, 0.763, 0.565)
Cu (0.650, 0.000, 0.650)
Cu (0.500, 0.382, 0.882)
Cu (0.350, 0.000, 0.350)
Cu (0.500, 0.618, 0.118)
In (0.000, 0.000, 0.000)
In (0.000, 0.500, 0.500)

Properties
- SG = Immm
- energy of formation from the pure elements (eV per atom) = -0.189
- magnetic moment (μB per atom) = 0.000

DFT (PBE-GGA) results for a relaxed La2SbBr crystal.

abc: 5.487 5.487 5.487
angles: 60.00 60.00 60.00
Site moments in Bohr magnetons follow the coordinates.
Positions (direct):
La (0.250, 0.250, 0.250)  0.24
La (0.750, 0.750, 0.750)  0.24
Br (0.000, 0.000, 0.000)  -0.01
Sb (0.500, 0.500, 0.500)  -0.01

Properties
- raw formation energy (eV/atom) = -1.240
- SG = Fm-3m
- magnetic moment (μB per atom) = 0.251

DFT (PBE-GGA) results for a relaxed NbReF2 crystal.

abc: 4.990 4.990 5.940
angles: 65.16 65.16 90.00
Site moments in Bohr magnetons follow the coordinates.
Positions (direct):
Re (0.750, 0.250, 0.500)  -0.03
Re (0.000, 0.000, 0.000)  -0.03
F (0.375, 0.377, 0.750)  0.00
F (0.623, 0.125, 0.250)  0.00
F (0.127, 0.625, 0.250)  0.00
F (0.875, 0.873, 0.750)  0.00
Nb (0.500, 0.500, 0.000)  0.27
Nb (0.250, 0.750, 0.500)  0.27

Properties
- raw formation energy (eV/atom) = 0.382
- offset from the most stable computed form (eV/atom) = 1.119
- SG = I-42d
- magnetic moment (μB per atom) = 0.070

DFT (PBE-GGA) results for a relaxed ZrRh2C crystal.

abc: 6.862 6.862 5.467
angles: 51.13 51.13 90.00
Positions (direct):
Zr (0.000, 0.000, 0.000)
Zr (0.750, 0.250, 0.500)
C (0.250, 0.750, 0.500)
C (0.500, 0.500, 0.000)
Rh (0.249, 0.625, 0.250)
Rh (0.375, 0.499, 0.750)
Rh (0.501, 0.125, 0.250)
Rh (0.875, 0.751, 0.750)

Properties
- SG = I-42d
- energy of formation from the pure elements (eV per atom) = -0.176
- magnetic moment (μB per atom) = 0.000